1.
# SrAc12Pm3

A geometry-optimized SrAc12Pm3 structure (GGA-PBE, the Alexandria database).

Calculated values
symmetry = P4/mmm
energy relative to the elements = 0.57 eV per formula unit

abc: 5.575 5.575 22.268
angles: 90.00 90.00 90.00
Sites, in units of the cell vectors:
Sr1 0.000 0.000 0.000
Ac1 0.000 0.500 0.132
Ac2 0.000 0.500 0.377
Ac3 0.000 0.500 0.623
Ac4 0.000 0.500 0.868
Ac5 0.500 0.000 0.132
Ac6 0.500 0.000 0.377
Ac7 0.500 0.000 0.623
Ac8 0.500 0.000 0.868
Ac9 0.500 0.500 0.000
Ac10 0.500 0.500 0.254
Ac11 0.500 0.500 0.500
Ac12 0.500 0.500 0.746
Pm1 0.000 0.000 0.253
Pm2 0.000 0.000 0.500
Pm3 0.000 0.000 0.747

=====

2.
# Y3TePd

A geometry-optimized Y3TePd structure (GGA-PBE, the Alexandria database).

Calculated values
formation energy without anion corrections = -0.742 eV/atom
offset from the most stable computed form = 0 meV/atom
symmetry = C2/m

abc: 8.596 8.596 9.676
angles: 120.85 120.85 28.51
Sites, in units of the cell vectors:
Y1 0.056 0.056 0.390
Y2 0.249 0.249 0.335
Y3 0.400 0.400 0.038
Y4 0.600 0.600 0.962
Y5 0.751 0.751 0.665
Y6 0.944 0.944 0.610
Te1 0.163 0.163 0.790
Te2 0.837 0.837 0.210
Pd1 0.386 0.386 0.723
Pd2 0.614 0.614 0.277